## A
The following is a DFT calculation (PBE) of crystalline BaW3S at its relaxed geometry.

Results
Space-group type   Pm-3m
Theoretical density   11.72 Mg/m³

a = 4.6738 Å, b = 4.6738 Å, c = 4.6738 Å
α = 90.00°, β = 90.00°, γ = 90.00°
Positions (direct):
Ba 0.0000 0.0000 0.0000
W 0.0000 0.5000 0.5000
W 0.5000 0.0000 0.5000
W 0.5000 0.5000 0.0000
S 0.5000 0.5000 0.5000

## B
The following is a DFT calculation (PBE) of crystalline BaW3S at its relaxed geometry.

Results
Space-group type   Pm-3m
Theoretical density   9.34 Mg/m³

a = 5.0422 Å, b = 5.0422 Å, c = 5.0422 Å
α = 90.00°, β = 90.00°, γ = 90.00°
Positions (direct):
Ba 0.0000 0.0000 0.0000
W 0.0000 0.0000 0.5000
W 0.0000 0.5000 0.0000
W 0.5000 0.0000 0.0000
S 0.5000 0.5000 0.5000

Energy relative to the most stable one, in kJ/mol of atoms: A 0.0; B 278.4

## A
The following is a DFT calculation (PBE) of crystalline BaWS3 at its relaxed geometry.

Results
Space-group type   P2_1/c
Theoretical density   5.24 Mg/m³

a = 6.8713 Å, b = 5.9903 Å, c = 14.4511 Å
α = 90.00°, β = 117.16°, γ = 90.00°
Positions (direct):
Ba 0.2152 0.2116 0.2009
Ba 0.2152 0.2884 0.7009
Ba 0.7848 0.7116 0.2991
Ba 0.7848 0.7884 0.7991
W 0.4551 0.7105 0.4637
W 0.4551 0.7895 0.9637
W 0.5449 0.2105 0.0363
W 0.5449 0.2895 0.5363
S 0.2023 0.0686 0.9693
S 0.2023 0.4314 0.4693
S 0.2529 0.7080 0.2818
S 0.2529 0.7920 0.7818
S 0.3695 0.5590 0.0688
S 0.3695 0.9410 0.5688
S 0.6305 0.0590 0.4312
S 0.6305 0.4410 0.9312
S 0.7471 0.2080 0.2182
S 0.7471 0.2920 0.7182
S 0.7977 0.5686 0.5307
S 0.7977 0.9314 0.0307

## B
The following is a DFT calculation (PBE) of crystalline BaWS3 at its relaxed geometry.

Results
Space-group type   Pm-3m
Theoretical density   4.25 Mg/m³

a = 5.4638 Å, b = 5.4638 Å, c = 5.4638 Å
α = 90.00°, β = 90.00°, γ = 90.00°
Positions (direct):
Ba 0.0000 0.0000 0.0000
W 0.5000 0.5000 0.5000
S 0.0000 0.0000 0.5000
S 0.0000 0.5000 0.0000
S 0.5000 0.0000 0.0000

## C
The following is a DFT calculation (PBE) of crystalline BaWS3 at its relaxed geometry.

Results
Space-group type   Pm-3m
Theoretical density   6.26 Mg/m³

a = 4.8022 Å, b = 4.8022 Å, c = 4.8022 Å
α = 90.00°, β = 90.00°, γ = 90.00°
Positions (direct):
Ba 0.0000 0.0000 0.0000
W 0.5000 0.5000 0.5000
S 0.0000 0.5000 0.5000
S 0.5000 0.0000 0.5000
S 0.5000 0.5000 0.0000

Energy relative to the most stable one, in kJ/mol of atoms: A 0.0; B 302.3; C 13.6

## A
The following is a DFT calculation (PBE) of crystalline Ba3YS at its relaxed geometry.

Results
Space-group type   Pm-3m
Theoretical density   3.72 Mg/m³

a = 6.1981 Å, b = 6.1981 Å, c = 6.1981 Å
α = 90.00°, β = 90.00°, γ = 90.00°
Positions (direct):
Ba 0.0000 0.0000 0.5000
Ba 0.0000 0.5000 0.0000
Ba 0.5000 0.0000 0.0000
Y 0.5000 0.5000 0.5000
S 0.0000 0.0000 0.0000

## B
The following is a DFT calculation (PBE) of crystalline Ba3YS at its relaxed geometry.

Results
Space-group type   Pm-3m
Theoretical density   3.67 Mg/m³

a = 6.2248 Å, b = 6.2248 Å, c = 6.2248 Å
α = 90.00°, β = 90.00°, γ = 90.00°
Positions (direct):
Ba 0.0000 0.0000 0.5000
Ba 0.0000 0.5000 0.0000
Ba 0.5000 0.0000 0.0000
Y 0.0000 0.0000 0.0000
S 0.5000 0.5000 0.5000

Energy relative to the most stable one, in kJ/mol of atoms: A 0.0; B 98.1

## A
The following is a DFT calculation (PBE) of crystalline BaY3S at its relaxed geometry.

Results
Space-group type   Pm-3m
Theoretical density   4.41 Mg/m³

a = 5.4745 Å, b = 5.4745 Å, c = 5.4745 Å
α = 90.00°, β = 90.00°, γ = 90.00°
Positions (direct):
Ba 0.0000 0.0000 0.0000
Y 0.0000 0.5000 0.5000
Y 0.5000 0.0000 0.5000
Y 0.5000 0.5000 0.0000
S 0.5000 0.5000 0.5000

## B
The following is a DFT calculation (PBE) of crystalline BaY3S at its relaxed geometry.

Results
Space-group type   Pm-3m
Theoretical density   3.94 Mg/m³

a = 5.6854 Å, b = 5.6854 Å, c = 5.6854 Å
α = 90.00°, β = 90.00°, γ = 90.00°
Positions (direct):
Ba 0.0000 0.0000 0.0000
Y 0.0000 0.0000 0.5000
Y 0.0000 0.5000 0.0000
Y 0.5000 0.0000 0.0000
S 0.5000 0.5000 0.5000

Energy relative to the most stable one, in kJ/mol of atoms: A 0.0; B 168.0

## A
The following is a DFT calculation (PBE) of crystalline Ba2ZnS at its relaxed geometry.

Results
Space-group type   R-3m
Theoretical density   3.46 Mg/m³

a = 10.8132 Å, b = 10.8132 Å, c = 10.8132 Å
α = 23.65°, β = 23.65°, γ = 23.65°
Positions (direct):
Ba 0.1095 0.1095 0.1095
Ba 0.8905 0.8905 0.8905
Zn 0.0000 0.0000 0.0000
S 0.5000 0.5000 0.5000

## B
The following is a DFT calculation (PBE) of crystalline Ba2ZnS at its relaxed geometry.

Results
Space-group type   Fm-3m
Theoretical density   4.91 Mg/m³

a = 5.6266 Å, b = 5.6266 Å, c = 5.6266 Å
α = 60.00°, β = 60.00°, γ = 60.00°
Positions (direct):
Ba 0.2500 0.2500 0.2500
Ba 0.7500 0.7500 0.7500
Zn 0.0000 0.0000 0.0000
S 0.5000 0.5000 0.5000

Energy relative to the most stable one, in kJ/mol of atoms: A 1.2; B 0.0

## A
The following is a DFT calculation (PBE) of crystalline BaZn3S at its relaxed geometry.

Results
Space-group type   Pm-3m
Theoretical density   4.54 Mg/m³

a = 5.1135 Å, b = 5.1135 Å, c = 5.1135 Å
α = 90.00°, β = 90.00°, γ = 90.00°
Positions (direct):
Ba 0.0000 0.0000 0.0000
Zn 0.0000 0.5000 0.5000
Zn 0.5000 0.0000 0.5000
Zn 0.5000 0.5000 0.0000
S 0.5000 0.5000 0.5000

## B
The following is a DFT calculation (PBE) of crystalline BaZn3S at its relaxed geometry.

Results
Space-group type   Pm-3m
Theoretical density   2.55 Mg/m³

a = 6.1952 Å, b = 6.1952 Å, c = 6.1952 Å
α = 90.00°, β = 90.00°, γ = 90.00°
Positions (direct):
Ba 0.0000 0.0000 0.0000
Zn 0.0000 0.0000 0.5000
Zn 0.0000 0.5000 0.0000
Zn 0.5000 0.0000 0.0000
S 0.5000 0.5000 0.5000

Energy relative to the most stable one, in kJ/mol of atoms: A 0.0; B 78.9